Crystalline V2Re at its relaxed geometry. Source: Alexandria via LeMat-Bulk, functional PBE.

Lattice parameters (Å, degrees): 4.8854 4.8854 4.8854 60.00 60.00 60.00
Element x y z (fractional)
V1 0.6250 0.6250 0.1250
V2 0.6250 0.6250 0.6250
V3 0.6250 0.1250 0.6250
Re1 0.2500 0.2500 0.2500
V4 0.1250 0.6250 0.6250
Re2 0.0000 0.0000 0.0000

## Properties
The space group is Fd-3m.

Crystalline VRe3W at its relaxed geometry. Source: Alexandria via LeMat-Bulk, functional PBE.

Lattice parameters (Å, degrees): 4.7066 4.7066 4.7066 90.00 90.00 90.00
Each line ends with the local moment (μB).
Element x y z (fractional)
Re1 0.0000 0.5000 0.0000  -0.48
Re2 0.5000 0.0000 0.0000  -0.48
Re3 0.0000 0.0000 0.5000  -0.48
V1 0.5000 0.5000 0.5000  2.21
W1 0.0000 0.0000 0.0000  0.10

## Properties
The space group is Pm-3m.

Crystalline V6Re2W at its relaxed geometry. Source: Alexandria via LeMat-Bulk, functional PBE.

Lattice parameters (Å, degrees): 4.3068 4.3068 7.8570 90.00 90.00 60.00
Element x y z (fractional)
V1 0.6667 0.6667 0.3864
V2 0.6667 0.6667 0.7240
W1 0.0000 0.0000 0.5000
V3 0.0000 0.0000 0.8318
V4 0.3333 0.3333 0.2760
Re1 0.6667 0.6667 0.0567
V5 0.3333 0.3333 0.6136
Re2 0.3333 0.3333 0.9433
V6 0.0000 0.0000 0.1682

## Properties
The space group is P-3m1.

Crystalline VReW4 at its relaxed geometry. Source: Alexandria via LeMat-Bulk, functional PBE.

Lattice parameters (Å, degrees): 3.1438 5.2120 6.8499 110.17 103.27 107.55
Element x y z (fractional)
W1 0.6617 0.4945 0.3324
W2 0.3340 0.5001 0.6713
W3 0.8269 0.9904 0.1668
Re1 0.4978 0.9973 0.5019
V1 0.9978 0.4973 0.0019
W4 0.1688 0.0041 0.8369

## Properties
The space group is C2/m.

Crystalline V4Re3W2 at its relaxed geometry. Source: Alexandria via LeMat-Bulk, functional PBE.

Lattice parameters (Å, degrees): 4.3436 4.3437 7.9607 90.00 90.00 60.00
Element x y z (fractional)
W1 0.3333 0.3334 0.7781
V1 0.0000 0.0000 0.6683
V2 0.0000 0.0000 0.3317
Re1 0.3333 0.3334 0.4434
V3 0.6667 0.6667 0.8889
Re2 0.0000 0.0000 0.0000
W2 0.6667 0.6666 0.2219
V4 0.3333 0.3333 0.1111
Re3 0.6667 0.6666 0.5566

## Properties
The space group is P-3m1.

Crystalline VReW14 at its relaxed geometry. Source: Alexandria via LeMat-Bulk, functional PBE.

Lattice parameters (Å, degrees): 5.4910 5.4910 8.9713 90.00 90.00 109.24
Element x y z (fractional)
W1 0.8754 0.1246 0.2519
W2 0.3734 0.1234 0.2525
W3 0.3746 0.6254 0.7481
W4 0.8766 0.6266 0.2525
W5 0.6250 0.3750 0.0000
W6 0.1250 0.3750 0.5000
W7 0.6250 0.8750 0.0000
W8 0.1250 0.8750 0.0000
W9 0.3734 0.1234 0.7475
W10 0.3746 0.6254 0.2519
W11 0.1250 0.3750 0.0000
V1 0.1250 0.8750 0.5000
W12 0.8766 0.6266 0.7475
W13 0.6250 0.8750 0.5000
Re1 0.6250 0.3750 0.5000
W14 0.8754 0.1246 0.7481

## Properties
The space group is Cmmm.

Crystalline V14ReW at its relaxed geometry. Source: Alexandria via LeMat-Bulk, functional PBE.

Lattice parameters (Å, degrees): 5.2243 5.2243 8.5210 90.00 90.00 109.11
Element x y z (fractional)
W1 0.6250 0.3750 0.5000
V1 0.3756 0.6244 0.7579
Re1 0.1250 0.8750 0.5000
V2 0.1249 0.3750 0.0000
V3 0.8765 0.6264 0.7524
V4 0.6250 0.8751 0.0000
V5 0.3736 0.1235 0.7524
V6 0.8744 0.1256 0.7579
V7 0.1250 0.3750 0.5000
V8 0.8744 0.1256 0.2421
V9 0.1250 0.8750 0.0000
V10 0.6250 0.3750 0.0000
V11 0.6250 0.8750 0.5000
V12 0.3736 0.1235 0.2476
V13 0.8765 0.6264 0.2476
V14 0.3756 0.6244 0.2421

## Properties
The space group is Cmmm.

Crystalline V3Re2W8 at its relaxed geometry. Source: Alexandria via LeMat-Bulk, functional PBE.

Lattice parameters (Å, degrees): 4.2789 8.7714 7.3835 125.99 89.97 90.00
Element x y z (fractional)
W1 0.4999 0.8732 0.2514
W2 0.0000 0.1253 0.2528
W3 0.5001 0.1268 0.7486
W4 0.0003 0.6142 0.2309
Re1 0.5002 0.7464 0.4933
W5 0.5001 0.6205 0.7489
W6 0.4999 0.3795 0.2511
V1 0.0000 0.2449 0.9996
V2 0.5000 0.0000 0.0000
W7 0.0000 0.8747 0.7472
W8 0.9997 0.3858 0.7691
V3 0.0000 0.7551 0.0004
Re2 0.4998 0.2536 0.5067

## Properties
The space group is P2/m.

Crystalline V3ReW at its relaxed geometry. Source: Alexandria via LeMat-Bulk, functional PBE.

Lattice parameters (Å, degrees): 4.3159 9.1804 7.4931 74.03 90.00 90.00
Element x y z (fractional)
V1 0.5000 0.2506 0.7498
Re1 0.0000 0.4507 0.8500
Re2 0.0000 0.5493 0.1500
V2 0.0000 0.6486 0.4502
V3 0.5000 0.3514 0.0498
V4 0.5000 0.0514 0.1497
V5 0.0000 0.2506 0.2498
Re3 0.5000 0.5493 0.6500
W1 0.0000 0.8482 0.0504
W2 0.0000 0.1518 0.9496
V6 0.5000 0.9486 0.8503
W3 0.5000 0.8482 0.5504
V7 0.0000 0.3514 0.5498
V8 0.0000 0.0514 0.6497
W4 0.5000 0.1518 0.4496
Re4 0.5000 0.4507 0.3500
V9 0.0000 0.9486 0.3503
V10 0.5000 0.7494 0.2502
V11 0.5000 0.6486 0.9502
V12 0.0000 0.7494 0.7502

## Properties
The space group is C2/m.

Crystalline V4ReW5 at its relaxed geometry. Source: Alexandria via LeMat-Bulk, functional PBE.

Lattice parameters (Å, degrees): 4.1483 6.0252 7.1827 110.49 106.78 90.00
Element x y z (fractional)
W1 0.5000 0.5000 0.0000
V1 0.9980 0.2512 0.9959
V2 0.3349 0.0952 0.6699
V3 0.0020 0.7488 0.0041
V4 0.6651 0.9048 0.3301
W2 0.1848 0.6283 0.3696
W3 0.8293 0.8209 0.6585
W4 0.1707 0.1791 0.3414
W5 0.8152 0.3717 0.6304
Re1 0.5000 0.0000 0.0000

## Properties
The space group is C2/m.

Crystalline V2Re2W5 at its relaxed geometry. Source: Alexandria via LeMat-Bulk, functional PBE.

Lattice parameters (Å, degrees): 2.6079 7.3046 7.8729 79.02 80.47 79.72
Element x y z (fractional)
Re1 0.3388 0.9826 0.3398
W1 0.1137 0.3332 0.4393
W2 0.2828 0.3333 0.1012
V1 0.0498 0.6830 0.2175
W3 0.7172 0.6667 0.8988
W4 0.8863 0.6668 0.5607
Re2 0.6612 0.0174 0.6602
W5 0.0000 0.0000 0.0000
V2 0.9502 0.3170 0.7825

## Properties
The space group is C2/m.

Crystalline V2Re4W at its relaxed geometry. Source: Alexandria via LeMat-Bulk, functional PBE.

Lattice parameters (Å, degrees): 4.6743 4.6743 6.9765 70.43 70.43 90.00
Each line ends with the local moment (μB).
Element x y z (fractional)
V1 0.3875 0.3875 0.2250  0.24
Re1 0.5000 0.0000 0.0000  -0.08
Re2 0.2020 0.2020 0.5960  0.38
Re3 0.7980 0.7980 0.4040  0.38
Re4 0.0000 0.5000 0.0000  -0.08
W1 0.0000 0.0000 0.0000  -0.03
V2 0.6125 0.6125 0.7750  0.24

## Properties
The space group is I4/mmm.

Number 1: magnetic moment 0.00 μB/cell, DOS(E_F) 10.83 states/eV/cell, formation enthalpy at 0 K -0.018 eV/atom. Number 2: magnetic moment 1.08 μB/cell, DOS(E_F) 8.07 states/eV/cell, formation enthalpy at 0 K 2.255 eV/atom. Number 3: magnetic moment 0.00 μB/cell, DOS(E_F) 6.86 states/eV/cell, formation enthalpy at 0 K -0.205 eV/atom. Number 4: magnetic moment 0.00 μB/cell, DOS(E_F) 2.85 states/eV/cell, formation enthalpy at 0 K -0.069 eV/atom. Number 5: magnetic moment 0.00 μB/cell, DOS(E_F) 4.03 states/eV/cell, formation enthalpy at 0 K -0.243 eV/atom. Number 6: magnetic moment 0.00 μB/cell, DOS(E_F) 8.85 states/eV/cell, formation enthalpy at 0 K -0.025 eV/atom. Number 7: magnetic moment 0.00 μB/cell, DOS(E_F) 23.79 states/eV/cell, formation enthalpy at 0 K -0.076 eV/atom. Number 8: magnetic moment 0.00 μB/cell, DOS(E_F) 10.32 states/eV/cell, formation enthalpy at 0 K 0.566 eV/atom. Number 9: magnetic moment 0.00 μB/cell, DOS(E_F) 15.85 states/eV/cell, formation enthalpy at 0 K -0.187 eV/atom. Number 10: magnetic moment 0.00 μB/cell, DOS(E_F) 10.73 states/eV/cell, formation enthalpy at 0 K 0.467 eV/atom. Number 11: magnetic moment 0.00 μB/cell, DOS(E_F) 7.75 states/eV/cell, formation enthalpy at 0 K 0.453 eV/atom. Number 12: magnetic moment 1.19 μB/cell, DOS(E_F) 7.86 states/eV/cell, formation enthalpy at 0 K 1.827 eV/atom.